First-principles (meta-GGA SCAN) data for DySi2Pt2 at its PBEsol-relaxed geometry, as listed in Alexandria via LeMat-Bulk.

Results
Total magnetic moment ... 0.0 μB/cell
Volume ... 84 Å³/f.u.
E ... -1.573 Ha/atom
DOS at the Fermi energy ... 0.633 states/eV per atom

abc: 4.1195 4.1195 5.7237
angles: 111.09 111.09 90.00
Closest atoms and distances in Å follow each position.
Fractional coordinates of all 5 atoms:
Si1 0.3830 0.3830 0.7660  1 Si 2.31, 4 Pt 2.44
Si2 0.6170 0.6170 0.2340  1 Si 2.31, 4 Pt 2.44
Pt1 0.7500 0.2500 0.5000  4 Si 2.44
Pt2 0.2500 0.7500 0.5000  4 Si 2.44
Dy1 0.0000 0.0000 0.0000  8 Si 3.13, 8 Pt 3.21

***

First-principles (meta-GGA SCAN) data for HfAs2CSe at its PBEsol-relaxed geometry, as listed in Alexandria via LeMat-Bulk.

Results
Energy relative to the lowest polymorph listed for this composition ... 694 meV/atom
Total magnetic moment ... 1.2 μB/cell
Volume ... 130 Å³/f.u.
DOS at the Fermi energy ... 0.791 states/eV per atom

abc: 4.9905 5.0973 5.0973
angles: 90.00 90.00 90.00
Closest atoms and distances in Å follow each position.
Fractional coordinates of all 5 atoms:
C1 0.5000 0.5000 0.5000  8 As 3.57, 4 Se 3.60
As1 0.0000 0.5000 0.0000  2 Hf 2.55
Hf1 0.0000 0.0000 0.0000  2 Se 2.50, 4 As 2.55
Se1 0.5000 0.0000 0.0000  2 Hf 2.50
As2 0.0000 0.0000 0.5000  2 Hf 2.55

***

First-principles (meta-GGA SCAN) data for MnWCl at its PBEsol-relaxed geometry, as listed in Alexandria via LeMat-Bulk.

Results
Energy relative to the lowest polymorph listed for this composition ... 885 meV/atom
Total magnetic moment ... 1.4 μB/cell
Volume ... 48 Å³/f.u.
DOS at the Fermi energy ... 0.546 states/eV per atom

abc: 4.0914 4.0914 4.0914
angles: 60.00 60.00 60.00
Closest atoms and distances in Å follow each position.
Fractional coordinates of all 3 atoms:
Mn1 0.5000 0.5000 0.5000  4 W 2.51
Cl1 0.0000 0.0000 0.0000  4 W 2.51
W1 0.2500 0.2500 0.2500  4 Cl 2.51, 4 Mn 2.51

***

First-principles (meta-GGA SCAN) data for KTe2Au at its PBEsol-relaxed geometry, as listed in Alexandria via LeMat-Bulk.

Results
Total magnetic moment ... 0.0 μB/cell
Volume ... 118 Å³/f.u.
E ... -1.416 Ha/atom
DOS at the Fermi energy ... 0.196 states/eV per atom

abc: 6.7161 6.8176 6.8176
angles: 75.96 60.49 60.49
Closest atoms and distances in Å follow each position.
Fractional coordinates of all 8 atoms:
Te1 0.6985 0.9265 0.4265  2 Au 2.70
Te2 0.0515 0.0735 0.5735  2 Au 2.70
Au1 0.7500 0.5000 0.5000  4 Te 2.70
Te3 0.8750 0.4265 0.0735  2 Au 2.70
Te4 0.3750 0.5735 0.9265  2 Au 2.70
K1 0.2500 0.5000 0.5000  2 Au 3.36, 8 Te 3.53-3.60
K2 0.5000 0.0000 0.0000  2 Au 3.36, 8 Te 3.53-3.60
Au2 0.0000 0.0000 0.0000  4 Te 2.70